No. 1
{
  "formula": "BeInHg2",
  "functional": "PBE-GGA",
  "state": "optimized geometry",
  "de_polymorph_ev_per_atom": 0.226,
  "dos_ef_per_ev_atom": 0.52,
  "delta_e_f_mev_per_atom": 465,
  "lattice": [[5.386, 0.016, 0.000], [1.796, 5.078, 0.000], [-3.591, -2.547, 3.103]],
  "species": ["Hg", "In", "Hg", "Be"],
  "fractional_positions": [[0.000, 0.000, 0.000], [0.250, 0.750, 0.500], [0.500, 0.500, 0.000], [0.750, 0.250, 0.500]]
}


No. 2
{
  "formula": "BeInHg2",
  "functional": "PBE-GGA",
  "state": "optimized geometry",
  "de_polymorph_ev_per_atom": 0.093,
  "dos_ef_per_ev_atom": 0.45,
  "delta_e_f_mev_per_atom": 332,
  "lattice": [[-1.506, 0.913, 2.565], [-1.966, -2.392, -0.303], [5.274, -4.949, 4.859]],
  "species": ["Be", "Hg", "Hg", "In"],
  "fractional_positions": [[0.500, 0.500, 0.768], [0.500, 0.500, 0.242], [0.000, 0.000, 0.939], [0.000, 0.000, 0.551]]
}


No. 3
{
  "formula": "BeInHg2",
  "functional": "PBE-GGA",
  "state": "optimized geometry",
  "de_polymorph_ev_per_atom": 0.097,
  "dos_ef_per_ev_atom": 0.20,
  "delta_e_f_mev_per_atom": 336,
  "lattice": [[3.344, 0.054, 0.000], [-1.456, 3.010, 0.000], [0.000, 0.000, 8.654]],
  "species": ["Hg", "Be", "In", "Hg"],
  "fractional_positions": [[0.000, 0.000, 0.552], [0.500, 0.500, 0.750], [0.500, 0.500, 0.250], [0.000, 0.000, 0.948]]
}


No. 4
{
  "formula": "BeInHg4",
  "functional": "PBE-GGA",
  "state": "optimized geometry",
  "dos_ef_per_ev_atom": 0.42,
  "delta_e_f_mev_per_atom": 528,
  "lattice": [[0.000, 4.289, 4.289], [4.289, 0.000, 4.289], [4.289, 4.289, 0.000]],
  "species": ["Be", "Hg", "In", "Hg", "Hg", "Hg"],
  "fractional_positions": [[0.000, 0.000, 0.000], [0.375, 0.375, 0.375], [0.750, 0.750, 0.750], [0.375, 0.876, 0.375], [0.375, 0.375, 0.876], [0.876, 0.375, 0.375]]
}


No. 5
{
  "formula": "Be2In2Hg",
  "functional": "PBE-GGA",
  "state": "optimized geometry",
  "de_polymorph_ev_per_atom": 0.673,
  "dos_ef_per_ev_atom": 0.39,
  "delta_e_f_mev_per_atom": 1042,
  "lattice": [[5.582, 0.000, 0.000], [0.000, 5.582, 0.000], [0.000, 0.000, 4.627]],
  "species": ["Be", "In", "Be", "In", "Hg"],
  "fractional_positions": [[0.000, 0.000, 0.500], [0.500, 0.000, 0.000], [0.500, 0.500, 0.500], [0.000, 0.500, 0.000], [0.000, 0.000, 0.000]]
}


No. 6
{
  "formula": "BeInHg2",
  "functional": "PBE-GGA",
  "state": "optimized geometry",
  "de_polymorph_ev_per_atom": 0.071,
  "dos_ef_per_ev_atom": 0.28,
  "delta_e_f_mev_per_atom": 310,
  "lattice": [[3.600, 0.000, 0.000], [0.000, 4.895, 0.154], [0.000, 2.617, 5.156]],
  "species": ["In", "Hg", "Be", "Hg"],
  "fractional_positions": [[0.500, 0.250, 0.250], [0.000, 0.581, 0.545], [0.500, 0.750, 0.750], [0.000, 0.919, 0.955]]
}